A geometry-optimized Ta2TeOs structure. Source: Alexandria, functional PBE.

Output
Energy relative to the elements, uncorrected: 0.213 eV per atom
Electronic total energy: -37.22 eV for the cell shown

The structure in POSCAR format:
```
Ta2TeOs
1.0
4.0165 0.0000 0.0000
0.0000 3.1289 0.0005
0.0000 1.9450 5.8406
Os Ta Te
1 2 1
Cartesian
2.0083 3.8054 4.3809
0.0000 1.9054 5.6954
0.0000 2.5766 3.0658
2.0083 1.2685 1.4603
```